PmPaAsO2 (PBE, optimized geometry); density of states at the Fermi level = 2.4 states/eV per cell; electronic total energy = -42.0 eV/cell; space group = I4mm (107)
1.0
-3.668 -0.606 -0.966
-0.018 -3.224 2.089
0.011 5.126 4.380
Pm Pa As O
1 1 1 2
direct
0.140 0.140 0.280
0.853 0.853 0.705
0.495 0.495 0.990
0.756 0.256 0.512
0.256 0.756 0.512

=====

PrPaAsO2 (PBE, optimized geometry); density of states at the Fermi level = 2.3 states/eV per cell; electronic total energy = -41.9 eV/cell; space group = I4mm (107)
1.0
-2.915 2.502 -0.410
0.384 -0.181 -3.840
-2.783 -5.905 1.944
Pr Pa As O
1 1 1 2
direct
0.138 0.138 0.276
0.852 0.852 0.704
0.494 0.494 0.987
0.758 0.258 0.516
0.258 0.758 0.516

=====

PrPaAs2O8 (PBE, optimized geometry); density of states at the Fermi level = 0.0 states/eV per cell; electronic total energy = -91.2 eV/cell; space group = I-4m2 (119)
1.0
6.161 0.163 0.000
-2.587 5.594 0.000
-1.787 -2.879 5.148
Pr Pa As O
1 1 2 8
direct
0.000 0.000 0.000
0.250 0.750 0.500
0.750 0.250 0.500
0.500 0.500 0.000
0.405 0.080 0.325
0.301 0.505 0.205
0.301 0.096 0.795
0.755 0.080 0.675
0.904 0.699 0.205
0.920 0.245 0.325
0.920 0.595 0.675
0.495 0.699 0.795

=====

PaAsPtO (PBE, optimized geometry); density of states at the Fermi level = 3.1 states/eV per cell; electronic total energy = -64.5 eV/cell; space group = P4/nmm (129)
1.0
3.965 0.000 0.000
0.000 3.965 0.000
0.000 0.000 8.266
Pa As Pt O
2 2 2 2
direct
0.500 0.000 0.663
0.000 0.500 0.337
0.000 0.500 0.795
0.500 0.000 0.205
0.500 0.500 0.000
0.000 0.000 0.000
0.000 0.000 0.500
0.500 0.500 0.500